Entry 1:
DFT (GGA-PBE) results for MnZnGaAu after structural relaxation.

Output
total DFT energy (no corrections): -4.2222 eV/atom
SG: F-43m
ΔH_f (0 K): -35 meV per atom

The structure in POSCAR format:
```
MnZnGaAu
1.0
-4.274 -1.134 0.477
-1.289 -2.376 3.531
-2.463 1.899 3.179
Zn Mn Au Ga
1 1 1 1
Direct
0.250 0.250 0.250
0.000 0.000 0.000
0.500 0.500 0.500
0.750 0.750 0.750
```

Entry 2:
DFT (GGA-PBE) results for GaMo2Au after structural relaxation.

Output
total DFT energy (no corrections): -6.4027 eV/atom
SG: I-42d
ΔH_f (0 K): 589 meV per atom

The structure in POSCAR format:
```
GaMo2Au
1.0
7.221 0.000 0.000
0.000 7.221 0.000
3.610 3.610 2.664
Mo Au Ga
4 2 2
Direct
0.609 0.125 0.250
0.141 0.625 0.250
0.375 0.391 0.750
0.875 0.859 0.750
0.000 0.000 0.000
0.750 0.250 0.500
0.500 0.500 0.000
0.250 0.750 0.500
```

Entry 3:
DFT (GGA-PBE) results for Ga2MoAu after structural relaxation.

Output
total DFT energy (no corrections): -5.1180 eV/atom
SG: P4/mmm
ΔH_f (0 K): -77 meV per atom
distance to the lowest polymorph of the same formula: 0.0 meV/atom

The structure in POSCAR format:
```
Ga2MoAu
1.0
3.479 0.000 0.000
0.000 4.272 0.000
0.000 0.000 4.272
Mo Au Ga
1 1 2
Direct
0.500 0.500 0.500
0.500 0.000 0.000
0.000 0.000 0.500
0.000 0.500 0.000
```

Entry 4:
DFT (GGA-PBE) results for Ga2MoAu after structural relaxation.

Output
total DFT energy (no corrections): -4.7653 eV/atom
SG: I-42d
ΔH_f (0 K): 275 meV per atom
distance to the lowest polymorph of the same formula: 352.6 meV/atom

The structure in POSCAR format:
```
Ga2MoAu
1.0
7.014 0.000 0.000
0.000 7.014 0.000
3.507 3.507 2.883
Mo Au Ga
2 2 4
Direct
0.500 0.500 0.000
0.250 0.750 0.500
0.000 0.000 0.000
0.750 0.250 0.500
0.632 0.125 0.250
0.118 0.625 0.250
0.375 0.368 0.750
0.875 0.882 0.750
```

Entry 5:
DFT (GGA-PBE) results for GaMoAu after structural relaxation.

Output
total DFT energy (no corrections): -5.7235 eV/atom
SG: C2/m
ΔH_f (0 K): -12 meV per atom

The structure in POSCAR format:
```
GaMoAu
1.0
3.295 0.000 0.000
-1.647 4.449 0.196
0.000 -1.425 6.974
Au Ga Mo
2 2 2
Direct
0.332 0.663 0.378
0.668 0.337 0.622
0.592 0.184 0.241
0.408 0.816 0.759
0.858 0.717 0.055
0.142 0.283 0.945
```

Entry 6:
DFT (GGA-PBE) results for Ga2MoAu after structural relaxation.

Output
total DFT energy (no corrections): -4.9113 eV/atom
SG: Fm-3m
ΔH_f (0 K): 129 meV per atom
distance to the lowest polymorph of the same formula: 206.7 meV/atom

The structure in POSCAR format:
```
Ga2MoAu
1.0
0.000 3.167 3.167
3.167 0.000 3.167
3.167 3.167 0.000
Mo Au Ga
1 1 2
Direct
0.000 0.000 0.000
0.500 0.500 0.500
0.250 0.250 0.250
0.750 0.750 0.750
```

Entry 7:
DFT (GGA-PBE) results for RbGaMoAu2 after structural relaxation.

Output
total DFT energy (no corrections): -2.4514 eV/atom
SG: P4/mmm
ΔH_f (0 K): 1825 meV per atom

The structure in POSCAR format:
```
RbGaMoAu2
1.0
-5.711 0.226 2.148
-1.120 -5.580 -2.390
1.854 -2.601 5.204
Mo Au Ga Rb
1 2 1 1
Direct
0.000 0.500 0.000
0.000 0.000 0.500
0.500 0.000 0.000
0.500 0.500 0.500
0.000 0.000 0.000
```

Entry 8:
DFT (GGA-PBE) results for GaMo2AuS after structural relaxation.

Output
total DFT energy (no corrections): -4.6426 eV/atom
SG: P4/mmm
energy relative to the elements, uncorrected: 8.88 eV/f.u.

The structure in POSCAR format:
```
GaMo2AuS
1.0
5.256 0.000 0.000
0.000 4.776 0.000
0.000 0.000 5.256
Mo Au S Ga
2 1 1 1
Direct
0.000 0.000 0.500
0.500 0.000 0.000
0.000 0.000 0.000
0.000 0.500 0.000
0.500 0.500 0.500
```

Entry 9:
DFT (GGA-PBE) results for Ga2SnMoAu after structural relaxation.

Output
total DFT energy (no corrections): -3.6004 eV/atom
SG: P4/mmm
ΔH_f (0 K): 1233 meV per atom

The structure in POSCAR format:
```
Ga2SnMoAu
1.0
5.238 0.000 0.000
0.000 5.180 0.000
0.000 0.000 5.238
Mo Au Sn Ga
1 1 1 2
Direct
0.500 0.500 0.500
0.000 0.500 0.000
0.000 0.000 0.000
0.000 0.000 0.500
0.500 0.000 0.000
```

Entry 10:
DFT (GGA-PBE) results for GaAuN3 after structural relaxation.

Output
total DFT energy (no corrections): -4.2589 eV/atom
SG: Pm-3m
energy relative to the elements, uncorrected: 9.99 eV/f.u.

The structure in POSCAR format:
```
GaAuN3
1.0
3.888 0.000 0.000
0.000 3.888 0.000
0.000 0.000 3.888
Au Ga N
1 1 3
Direct
0.500 0.500 0.500
0.000 0.000 0.000
0.000 0.500 0.000
0.000 0.000 0.500
0.500 0.000 0.000
```

Entry 11:
DFT (GGA-PBE) results for Ga3AuN after structural relaxation.

Output
total DFT energy (no corrections): -3.8014 eV/atom
SG: Pm-3m
energy relative to the elements, uncorrected: 1.68 eV/f.u.
distance to the lowest polymorph of the same formula: 0.0 meV/atom

The structure in POSCAR format:
```
Ga3AuN
1.0
-3.272 1.777 2.203
-0.608 -3.730 2.106
2.764 1.283 3.071
Au Ga N
1 3 1
Direct
0.500 0.500 0.500
0.000 0.500 0.000
0.000 0.000 0.500
0.500 0.000 0.000
0.000 0.000 0.000
```

Entry 12:
DFT (GGA-PBE) results for GaAuN3 after structural relaxation.

Output
total DFT energy (no corrections): -4.0107 eV/atom
SG: Pm-3m
energy relative to the elements, uncorrected: 11.23 eV/f.u.

The structure in POSCAR format:
```
GaAuN3
1.0
-0.900 2.383 -3.219
-2.610 -2.851 -1.382
-3.038 1.744 2.140
Au Ga N
1 1 3
Direct
0.000 0.000 0.000
0.500 0.500 0.500
0.000 0.500 0.000
0.000 0.000 0.500
0.500 0.000 0.000
```

Entry 13:
DFT (GGA-PBE) results for GaAu2N after structural relaxation.

Output
total DFT energy (no corrections): -3.8946 eV/atom
SG: I-42d
energy relative to the elements, uncorrected: 2.33 eV/f.u.
distance to the lowest polymorph of the same formula: 0.0 meV/atom

The structure in POSCAR format:
```
GaAu2N
1.0
-3.939 3.128 -1.265
-3.132 -2.664 3.161
-2.072 3.916 5.501
Au Ga N
4 2 2
Direct
0.494 0.125 0.250
0.256 0.625 0.250
0.375 0.506 0.750
0.875 0.744 0.750
0.000 0.000 0.000
0.750 0.250 0.500
0.500 0.500 0.000
0.250 0.750 0.500
```